Entry 1:
# Zn8Cu6Au PBE optimized geometry
# **E_tot**: -114.74 eV for the cell shown
# **N(E_F)**: 15.41 states/eV/cell
# **DFT formation energy**: -0.013 eV per atom
# **Total magnetization**: 0.0 μB per cell
data_Zn8Cu6Au
_chemical_formula_sum 'Zn24 Cu18 Au3'
_cell_length_a 7.2642
_cell_length_b 7.2642
_cell_length_c 14.9904
_cell_angle_alpha 90.00
_cell_angle_beta 90.00
_cell_angle_gamma 120.00
_symmetry_space_group_name_H-M 'R -3'
_symmetry_Int_Tables_number 148
_symmetry_space_group_name_Hall '-R 3'
loop_
_atom_site_label
_atom_site_fract_x
_atom_site_fract_y
_atom_site_fract_z
Zn1 0.0000 0.0000 0.1687
Zn2 0.0017 0.3245 0.6194
Cu1 0.0009 0.6546 0.5487
Au1 0.0000 0.0000 0.5000



Entry 2:
# La5TlGe2 PBE optimized geometry
# **E_tot**: -164.31 eV for the cell shown
# **N(E_F)**: 32.87 states/eV/cell
# **DFT formation energy**: -0.605 eV per atom
# **Total magnetization**: 0.0 μB per cell
data_La5TlGe2
_chemical_formula_sum 'La20 Tl4 Ge8'
_cell_length_a 8.206
_cell_length_b 8.206
_cell_length_c 14.764
_cell_angle_alpha 90.00
_cell_angle_beta 90.00
_cell_angle_gamma 90.00
_symmetry_space_group_name_H-M 'I 4/m c m'
_symmetry_Int_Tables_number 140
_symmetry_space_group_name_Hall '-I 4 2c'
loop_
_atom_site_label
_atom_site_fract_x
_atom_site_fract_y
_atom_site_fract_z
La1 0.000 0.000 0.000
La2 0.171 0.329 0.141
Tl1 0.000 0.000 0.250
Ge1 0.128 0.372 0.500



Entry 3:
# YMg2W PBE optimized geometry
# **E_tot**: -41.12 eV for the cell shown
# **N(E_F)**: 6.72 states/eV/cell
# **DFT formation energy**: 0.512 eV per atom
# **Total magnetization**: 0.0 μB per cell
data_YMg2W
_chemical_formula_sum 'Y2 Mg4 W2'
_cell_length_a 4.360
_cell_length_b 4.360
_cell_length_c 8.944
_cell_angle_alpha 90.00
_cell_angle_beta 90.00
_cell_angle_gamma 90.00
_symmetry_space_group_name_H-M 'I -4 m 2'
_symmetry_Int_Tables_number 119
_symmetry_space_group_name_Hall 'I -4 -2'
loop_
_atom_site_label
_atom_site_fract_x
_atom_site_fract_y
_atom_site_fract_z
Y1 0.000 0.000 0.000
Mg1 0.000 0.000 0.500
Mg2 0.000 0.500 0.750
W1 0.000 0.500 0.250



Entry 4:
# YGeRhW2 PBE optimized geometry
# **E_tot**: -30.55 eV for the cell shown
# **N(E_F)**: 8.16 states/eV/cell
# **DFT formation energy**: 2.758 eV per atom
# **Total magnetization**: 0.2 μB per cell
data_YGeRhW2
_chemical_formula_sum 'Y1 Ge1 Rh1 W2'
_cell_length_a 4.823
_cell_length_b 4.823
_cell_length_c 5.018
_cell_angle_alpha 90.00
_cell_angle_beta 90.00
_cell_angle_gamma 90.00
_symmetry_space_group_name_H-M 'P 4/m m m'
_symmetry_Int_Tables_number 123
_symmetry_space_group_name_Hall '-P 4 2'
loop_
_atom_site_label
_atom_site_fract_x
_atom_site_fract_y
_atom_site_fract_z
Y1 0.000 0.000 0.000
Ge1 0.000 0.000 0.500
Rh1 0.500 0.500 0.500
W1 0.000 0.500 0.000



Entry 5:
# Ca5Bi4H PBE optimized geometry
# **E_tot**: -68.63 eV for the cell shown
# **N(E_F)**: 15.39 states/eV/cell
# **Total magnetization**: 0.0 μB per cell
data_Ca5Bi4H
_chemical_formula_sum 'Ca10 Bi8 H2'
_cell_length_a 9.879
_cell_length_b 9.879
_cell_length_c 6.490
_cell_angle_alpha 90.00
_cell_angle_beta 90.00
_cell_angle_gamma 90.00
_symmetry_space_group_name_H-M 'I 4'
_symmetry_Int_Tables_number 79
loop_
_symmetry_equiv_pos_as_xyz
'x,y,z'
'-y,x,z'
'-x,-y,z'
'y,-x,z'
'x+1/2,y+1/2,z+1/2'
'-y+1/2,x+1/2,z+1/2'
'-x+1/2,-y+1/2,z+1/2'
'y+1/2,-x+1/2,z+1/2'
loop_
_atom_site_label
_atom_site_fract_x
_atom_site_fract_y
_atom_site_fract_z
Ca1 0.000 0.000 0.000
Ca2 0.103 0.265 0.437
Bi1 0.081 0.315 0.935
H1 0.000 0.000 0.375



Entry 6:
# PPb PBE optimized geometry
# **E_tot**: -18.17 eV for the cell shown
# **N(E_F)**: 1.39 states/eV/cell
# **DFT formation energy**: 0.018 eV per atom
# **Total magnetization**: 0.0 μB per cell
data_PPb
_chemical_formula_sum 'P2 Pb2'
_cell_length_a 5.627
_cell_length_b 3.285
_cell_length_c 6.279
_cell_angle_alpha 90.00
_cell_angle_beta 90.44
_cell_angle_gamma 90.00
_symmetry_space_group_name_H-M 'P 1 21/m 1'
_symmetry_Int_Tables_number 11
loop_
_symmetry_equiv_pos_as_xyz
'x,y,z'
'-x,-y,-z'
'-x,y+1/2,-z'
'x,-y+1/2,z'
loop_
_atom_site_label
_atom_site_fract_x
_atom_site_fract_y
_atom_site_fract_z
P1 0.001 0.250 0.116
Pb1 0.498 0.750 0.740



Entry 7:
# Gd2MgGe2 PBE optimized geometry
# **E_tot**: -85.72 eV for the cell shown
# **N(E_F)**: 2.39 states/eV/cell
# **DFT formation energy**: -0.774 eV per atom
# **Total magnetization**: 28.3 μB per cell
data_Gd2MgGe2
_chemical_formula_sum 'Gd4 Mg2 Ge4'
_cell_length_a 7.341
_cell_length_b 7.341
_cell_length_c 4.295
_cell_angle_alpha 90.00
_cell_angle_beta 90.00
_cell_angle_gamma 90.00
_symmetry_space_group_name_H-M 'P 4/m b m'
_symmetry_Int_Tables_number 127
_symmetry_space_group_name_Hall '-P 4 2ab'
loop_
_atom_site_label
_atom_site_fract_x
_atom_site_fract_y
_atom_site_fract_z
Gd1 0.177 0.323 0.000
Mg1 0.000 0.000 0.500
Ge1 0.123 0.623 0.500



Entry 8:
# KBaSc2 PBE optimized geometry
# **E_tot**: -50.78 eV for the cell shown
# **N(E_F)**: 55.05 states/eV/cell
# **DFT formation energy**: 0.747 eV per atom
# **Total magnetization**: 0.0 μB per cell
data_KBaSc2
_chemical_formula_sum 'K4 Ba4 Sc8'
_cell_length_a 8.505
_cell_length_b 8.505
_cell_length_c 8.505
_cell_angle_alpha 90.00
_cell_angle_beta 90.00
_cell_angle_gamma 90.00
_symmetry_space_group_name_H-M 'F m -3 m'
_symmetry_Int_Tables_number 225
_symmetry_space_group_name_Hall '-F 4 2 3'
loop_
_atom_site_label
_atom_site_fract_x
_atom_site_fract_y
_atom_site_fract_z
K1 0.000 0.000 0.000
Ba1 0.000 0.000 0.500
Sc1 0.250 0.250 0.250



Entry 9:
# K3CN4 PBE optimized geometry
# **E_tot**: -76.74 eV for the cell shown
# **E_form (uncorrected)**: 930.8 meV/atom
# **N(E_F)**: 6.35 states/eV/cell
# **Total magnetization**: 6.0 μB per cell
data_K3CN4
_chemical_formula_sum 'K6 C2 N8'
_cell_length_a 6.034
_cell_length_b 6.034
_cell_length_c 7.750
_cell_angle_alpha 90.00
_cell_angle_beta 90.00
_cell_angle_gamma 90.00
_symmetry_space_group_name_H-M 'I 4/m m m'
_symmetry_Int_Tables_number 139
_symmetry_space_group_name_Hall '-I 4 2'
loop_
_atom_site_label
_atom_site_fract_x
_atom_site_fract_y
_atom_site_fract_z
K1 0.000 0.000 0.000
K2 0.000 0.500 0.250
C1 0.000 0.000 0.500
N1 0.172 0.172 0.500



Entry 10:
# FePbW PBE optimized geometry
# **E_tot**: -46.15 eV for the cell shown
# **N(E_F)**: 6.60 states/eV/cell
# **DFT formation energy**: 0.682 eV per atom
# **Total magnetization**: 1.1 μB per cell
data_FePbW
_chemical_formula_sum 'Fe2 Pb2 W2'
_cell_length_a 3.054
_cell_length_b 3.054
_cell_length_c 11.550
_cell_angle_alpha 90.00
_cell_angle_beta 90.00
_cell_angle_gamma 90.00
_symmetry_space_group_name_H-M 'I 4 m m'
_symmetry_Int_Tables_number 107
_symmetry_space_group_name_Hall 'I 4 -2'
loop_
_atom_site_label
_atom_site_fract_x
_atom_site_fract_y
_atom_site_fract_z
Fe1 0.000 0.000 0.000
Pb1 0.000 0.000 0.690
W1 0.000 0.000 0.394



Entry 11:
# NaInAgPd PBE optimized geometry
# **E_tot**: -51.57 eV for the cell shown
# **N(E_F)**: 6.63 states/eV/cell
# **DFT formation energy**: -0.198 eV per atom
# **Total magnetization**: 0.0 μB per cell
data_NaInAgPd
_chemical_formula_sum 'Na4 In4 Ag4 Pd4'
_cell_length_a 6.720
_cell_length_b 6.720
_cell_length_c 6.720
_cell_angle_alpha 90.00
_cell_angle_beta 90.00
_cell_angle_gamma 90.00
_symmetry_space_group_name_H-M 'F -4 3 m'
_symmetry_Int_Tables_number 216
_symmetry_space_group_name_Hall 'F -4 2 3'
loop_
_atom_site_label
_atom_site_fract_x
_atom_site_fract_y
_atom_site_fract_z
Na1 0.000 0.000 0.000
In1 0.000 0.000 0.500
Ag1 0.250 0.250 0.250
Pd1 0.250 0.250 0.750



Entry 12:
# Pu4MgSe5 PBE optimized geometry
# **E_tot**: -271.72 eV for the cell shown
# **E_form (uncorrected)**: -1422.9 meV/atom
# **N(E_F)**: 102.40 states/eV/cell
# **Total magnetization**: 0.2 μB per cell
data_Pu4MgSe5
_chemical_formula_sum 'Pu12 Mg3 Se15'
_cell_length_a 4.0814
_cell_length_b 4.0814
_cell_length_c 50.7882
_cell_angle_alpha 90.00
_cell_angle_beta 90.00
_cell_angle_gamma 120.00
_symmetry_space_group_name_H-M 'R -3 m'
_symmetry_Int_Tables_number 166
_symmetry_space_group_name_Hall '-R 3 2"'
loop_
_atom_site_label
_atom_site_fract_x
_atom_site_fract_y
_atom_site_fract_z
Pu1 0.0000 0.0000 0.1014
Pu2 0.0000 0.0000 0.2993
Mg1 0.0000 0.0000 0.5000
Se1 0.0000 0.0000 0.0000
Se2 0.0000 0.0000 0.1962
Se3 0.0000 0.0000 0.4013



Entry 13:
# LaTbY6 PBE optimized geometry
# **E_tot**: -141.51 eV for the cell shown
# **N(E_F)**: 45.23 states/eV/cell
# **DFT formation energy**: 0.147 eV per atom
# **Total magnetization**: 0.0 μB per cell
data_LaTbY6
_chemical_formula_sum 'La3 Tb3 Y18'
_cell_length_a 9.6991
_cell_length_b 9.6991
_cell_length_c 9.9674
_cell_angle_alpha 90.00
_cell_angle_beta 90.00
_cell_angle_gamma 120.00
_symmetry_space_group_name_H-M 'R -3'
_symmetry_Int_Tables_number 148
_symmetry_space_group_name_Hall '-R 3'
loop_
_atom_site_label
_atom_site_fract_x
_atom_site_fract_y
_atom_site_fract_z
La1 0.0000 0.0000 0.0000
Tb1 0.0000 0.0000 0.5000
Y1 0.0010 0.2931 0.2519



Entry 14:
# Ba2SiMo PBE optimized geometry
# **E_tot**: -39.50 eV for the cell shown
# **E_form (uncorrected)**: 87.6 meV/atom
# **N(E_F)**: 7.40 states/eV/cell
# **Total magnetization**: 0.0 μB per cell
data_Ba2SiMo
_chemical_formula_sum 'Ba4 Si2 Mo2'
_cell_length_a 7.558
_cell_length_b 4.365
_cell_length_c 9.236
_cell_angle_alpha 90.00
_cell_angle_beta 105.60
_cell_angle_gamma 90.00
_symmetry_space_group_name_H-M 'C 1 m 1'
_symmetry_Int_Tables_number 8
loop_
_symmetry_equiv_pos_as_xyz
'x,y,z'
'x,-y,z'
'x+1/2,y+1/2,z'
'x+1/2,-y+1/2,z'
loop_
_atom_site_label
_atom_site_fract_x
_atom_site_fract_y
_atom_site_fract_z
Ba1 0.000 0.000 0.000
Ba2 0.168 0.000 0.512
Si1 0.418 0.000 0.256
Mo1 0.251 0.500 0.256



Entry 15:
# BaCdHg6Bi2 PBE optimized geometry
# **E_tot**: -55.80 eV for the cell shown
# **N(E_F)**: 12.88 states/eV/cell
# **DFT formation energy**: -0.154 eV per atom
# **Total magnetization**: 0.0 μB per cell
data_BaCdHg6Bi2
_chemical_formula_sum 'Ba4 Cd4 Hg24 Bi8'
_cell_length_a 9.671
_cell_length_b 12.563
_cell_length_c 10.576
_cell_angle_alpha 90.00
_cell_angle_beta 110.12
_cell_angle_gamma 90.00
_symmetry_space_group_name_H-M 'C 1 2/c 1'
_symmetry_Int_Tables_number 15
loop_
_symmetry_equiv_pos_as_xyz
'x,y,z'
'-x,-y,-z'
'-x,y,-z+1/2'
'x,-y,z+1/2'
'x+1/2,y+1/2,z'
'-x+1/2,-y+1/2,-z'
'-x+1/2,y+1/2,-z+1/2'
'x+1/2,-y+1/2,z+1/2'
loop_
_atom_site_label
_atom_site_fract_x
_atom_site_fract_y
_atom_site_fract_z
Ba1 0.000 0.176 0.250
Cd1 0.000 0.488 0.250
Hg1 0.072 0.367 0.533
Hg2 0.154 0.060 0.920
Hg3 0.177 0.301 0.848
Bi1 0.196 0.112 0.643



Entry 16:
# FeTe3Se PBE optimized geometry
# **E_tot**: -18.90 eV for the cell shown
# **E_form (uncorrected)**: 493.6 meV/atom
# **N(E_F)**: 8.94 states/eV/cell
# **Total magnetization**: 0.0 μB per cell
data_FeTe3Se
_chemical_formula_sum 'Fe1 Te3 Se1'
_cell_length_a 4.998
_cell_length_b 4.998
_cell_length_c 4.998
_cell_angle_alpha 90.00
_cell_angle_beta 90.00
_cell_angle_gamma 90.00
_symmetry_space_group_name_H-M 'P m -3 m'
_symmetry_Int_Tables_number 221
_symmetry_space_group_name_Hall '-P 4 2 3'
loop_
_atom_site_label
_atom_site_fract_x
_atom_site_fract_y
_atom_site_fract_z
Fe1 0.000 0.000 0.000
Te1 0.000 0.000 0.500
Se1 0.500 0.500 0.500



Entry 17:
# Ba2LaGe2 PBE optimized geometry
# **E_tot**: -40.98 eV for the cell shown
# **N(E_F)**: 8.10 states/eV/cell
# **DFT formation energy**: -0.496 eV per atom
# **Total magnetization**: 0.0 μB per cell
data_Ba2LaGe2
_chemical_formula_sum 'Ba4 La2 Ge4'
_cell_length_a 8.105
_cell_length_b 8.105
_cell_length_c 5.262
_cell_angle_alpha 90.00
_cell_angle_beta 90.00
_cell_angle_gamma 90.00
_symmetry_space_group_name_H-M 'P 4/m b m'
_symmetry_Int_Tables_number 127
_symmetry_space_group_name_Hall '-P 4 2ab'
loop_
_atom_site_label
_atom_site_fract_x
_atom_site_fract_y
_atom_site_fract_z
Ba1 0.171 0.329 0.000
La1 0.000 0.000 0.500
Ge1 0.114 0.614 0.500



Entry 18:
# MgFeH2 PBE optimized geometry
# **E_tot**: -57.79 eV for the cell shown
# **N(E_F)**: 16.78 states/eV/cell
# **Total magnetization**: 10.5 μB per cell
data_MgFeH2
_chemical_formula_sum 'Mg4 Fe4 H8'
_cell_length_a 5.269
_cell_length_b 5.269
_cell_length_c 5.269
_cell_angle_alpha 90.00
_cell_angle_beta 90.00
_cell_angle_gamma 90.00
_symmetry_space_group_name_H-M 'F m -3 m'
_symmetry_Int_Tables_number 225
_symmetry_space_group_name_Hall '-F 4 2 3'
loop_
_atom_site_label
_atom_site_fract_x
_atom_site_fract_y
_atom_site_fract_z
Mg1 0.000 0.000 0.000
Fe1 0.000 0.000 0.500
H1 0.250 0.250 0.250



Entry 19:
# TlAg2W PBE optimized geometry
# **E_tot**: -36.34 eV for the cell shown
# **N(E_F)**: 4.33 states/eV/cell
# **DFT formation energy**: 0.713 eV per atom
# **Total magnetization**: 0.0 μB per cell
data_TlAg2W
_chemical_formula_sum 'Tl2 Ag4 W2'
_cell_length_a 5.762
_cell_length_b 9.255
_cell_length_c 2.831
_cell_angle_alpha 90.00
_cell_angle_beta 90.00
_cell_angle_gamma 90.00
_symmetry_space_group_name_H-M 'C m m m'
_symmetry_Int_Tables_number 65
_symmetry_space_group_name_Hall '-C 2 2'
loop_
_atom_site_label
_atom_site_fract_x
_atom_site_fract_y
_atom_site_fract_z
Tl1 0.000 0.000 0.000
Ag1 0.250 0.250 0.500
W1 0.000 0.500 0.000



Entry 20:
# Sc2CuSb2 PBE optimized geometry
# **E_tot**: -53.91 eV for the cell shown
# **E_form (uncorrected)**: -390.4 meV/atom
# **N(E_F)**: 10.65 states/eV/cell
# **Total magnetization**: 0.0 μB per cell
data_Sc2CuSb2
_chemical_formula_sum 'Sc4 Cu2 Sb4'
_cell_length_a 7.417
_cell_length_b 7.417
_cell_length_c 4.103
_cell_angle_alpha 90.00
_cell_angle_beta 90.00
_cell_angle_gamma 90.00
_symmetry_space_group_name_H-M 'P 4/m b m'
_symmetry_Int_Tables_number 127
_symmetry_space_group_name_Hall '-P 4 2ab'
loop_
_atom_site_label
_atom_site_fract_x
_atom_site_fract_y
_atom_site_fract_z
Sc1 0.153 0.347 0.000
Cu1 0.000 0.000 0.000
Sb1 0.158 0.658 0.500